No. 1
The following is a PBE calculation of crystalline Cu2Pt3Se8 at its relaxed geometry, from Alexandria.

Properties
- V (Å³/f.u.) = 296.9
- D(E_F) (states/eV/f.u.) = 7.92
- E_tot (eV/atom) = -4.39

Lattice parameters (Å, degrees): 13.393 7.488 6.565 90.00 115.59 90.00
Space group C2/m (No. 12)
Inequivalent atoms, fractional coordinates:
Cu1 0.236 0.000 0.014 [4 per cell]
Pt1 0.000 0.254 0.000 [4 per cell]
Pt2 0.000 0.500 0.500 [2 per cell]
Se1 0.108 0.500 0.266 [4 per cell]
Se2 0.119 0.000 0.232 [4 per cell]
Se3 0.123 0.270 0.800 [8 per cell]



No. 2
The following is a PBE calculation of crystalline P2PtPb at its relaxed geometry, from Alexandria.

Properties
- V (Å³/f.u.) = 75.5
- D(E_F) (states/eV/f.u.) = 2.20
- ΔH_f (0 K) (eV/atom) = 0.5122

Lattice parameters (Å, degrees): 3.517 4.307 4.987 90.00 90.00 90.00
Space group Pmmm (No. 47)
Inequivalent atoms, fractional coordinates:
P1 0.000 0.000 0.000 [1 per cell]
P2 0.500 0.000 0.500 [1 per cell]
Pt1 0.000 0.500 0.500 [1 per cell]
Pb1 0.500 0.500 0.000 [1 per cell]



No. 3
The following is a PBE calculation of crystalline V2ReNi at its relaxed geometry, from Alexandria.

Properties
- V (Å³/f.u.) = 56.3
- D(E_F) (states/eV/f.u.) = 4.97
- ΔH_f (0 K) (eV/atom) = 0.4334

Lattice parameters (Å, degrees): 6.655 6.655 5.084 90.00 90.00 90.00
Space group I-42d (No. 122)
Inequivalent atoms, fractional coordinates:
V1 0.238 0.250 0.125 [8 per cell]
Re1 0.000 0.000 0.500 [4 per cell]
Ni1 0.000 0.000 0.000 [4 per cell]